Record 1
{
  "formula": "Sr2Ac5Ir4",
  "functional": "PBE",
  "state": "optimized geometry",
  "cell": [[-1.8199, -3.4264, 1.9845], [5.9999, -1.5443, 2.8389], [-4.3825, 9.7093, 7.9570]],
  "species": ["Sr", "Sr", "Ac", "Ac", "Ac", "Ac", "Ac", "Ir", "Ir", "Ir", "Ir"],
  "frac_coords": [[0.4250, 0.4070, 0.8500], [0.5750, 0.5930, 0.1500], [0.7732, 0.2891, 0.5462], [0.2268, 0.7109, 0.4538], [0.8764, 0.8157, 0.7526], [0.5000, 0.0000, 0.0000], [0.1236, 0.1843, 0.2474], [0.3227, 0.5603, 0.6453], [0.0133, 0.3226, 0.0264], [0.6773, 0.4397, 0.3547], [0.9867, 0.6774, 0.9736]]
}

---

Record 2
{
  "formula": "CsTl2Pt",
  "functional": "PBE",
  "state": "optimized geometry",
  "cell": [[0.0000, 3.9046, 3.9046], [3.9046, 0.0000, 3.9046], [3.9046, 3.9046, 0.0000]],
  "species": ["Cs", "Tl", "Tl", "Pt"],
  "frac_coords": [[0.0000, 0.0000, 0.0000], [0.2500, 0.2500, 0.2500], [0.7500, 0.7500, 0.7500], [0.5000, 0.5000, 0.5000]]
}

---

Record 3
{
  "formula": "Ba2ScTiCd",
  "functional": "PBE",
  "state": "optimized geometry",
  "cell": [[-6.1033, 0.8036, -1.9247], [-1.4888, -0.7052, 4.4265], [0.4657, 6.3267, 1.1646]],
  "species": ["Sc", "Ti", "Ba", "Ba", "Cd"],
  "frac_coords": [[0.0000, 0.0000, 0.0000], [0.0000, 0.5000, 0.0000], [0.0000, 0.0000, 0.5000], [0.5000, 0.0000, 0.0000], [0.5000, 0.5000, 0.5000]]
}

---

Record 4
{
  "formula": "PmTh2Al",
  "functional": "PBE",
  "state": "optimized geometry",
  "cell": [[3.3861, 0.0000, 0.0000], [1.6931, 2.9325, 0.0000], [1.6931, 0.9775, 11.9710]],
  "species": ["Al", "Th", "Th", "Pm"],
  "frac_coords": [[0.5000, 0.5000, 0.5000], [0.0946, 0.0946, 0.7162], [0.9054, 0.9054, 0.2838], [0.0000, 0.0000, 0.0000]]
}

---

Record 5
{
  "formula": "Ac2ThCd",
  "functional": "PBE",
  "state": "optimized geometry",
  "cell": [[5.1221, 0.0000, 0.0000], [0.0000, 5.2520, 0.0000], [0.0000, 0.0000, 5.2520]],
  "species": ["Ac", "Ac", "Th", "Cd"],
  "frac_coords": [[0.0000, 0.0000, 0.5000], [0.0000, 0.5000, 0.0000], [0.5000, 0.5000, 0.5000], [0.5000, 0.0000, 0.0000]]
}

---

Record 6
{
  "formula": "AcInPd",
  "functional": "PBE",
  "state": "optimized geometry",
  "cell": [[4.7268, 0.0000, 0.0000], [0.0000, 8.7369, 0.0000], [0.0000, 0.0000, 7.6068]],
  "species": ["Ac", "Ac", "Ac", "Ac", "In", "In", "In", "In", "Pd", "Pd", "Pd", "Pd"],
  "frac_coords": [[0.2500, 0.8196, 0.4595], [0.7500, 0.3196, 0.0405], [0.2500, 0.6804, 0.9595], [0.7500, 0.1804, 0.5405], [0.7500, 0.9382, 0.1415], [0.7500, 0.5618, 0.6415], [0.2500, 0.0618, 0.8585], [0.2500, 0.4382, 0.3585], [0.7500, 0.6206, 0.2635], [0.7500, 0.8794, 0.7635], [0.2500, 0.1206, 0.2365], [0.2500, 0.3794, 0.7365]]
}

---

Summary of calculated formation energy in eV per formula unit
-4.81; 0.96; 3.69; 0.76; 0.22; -2.22
(order as listed above)